(A)
GeTeSCl2 | Alexandria via LeMat-Bulk | PBE | relaxed; mass density = 4.065 g cm⁻³; total moment = 1.11 μB per formula unit
1.0
-0.3122 4.8414 -0.2547
-3.6471 -0.4027 -3.1840
-3.4502 -0.0145 3.9540
Te Cl Ge S
1 2 1 1
direct
0.5000 0.5000 0.5000
0.5000 0.0000 0.0000
0.0000 0.5000 0.0000
0.0000 0.0000 0.0000
0.0000 0.0000 0.5000



(B)
GeTeSCl2 | Alexandria via LeMat-Bulk | PBE | relaxed; mass density = 3.449 g cm⁻³; total moment = 0.91 μB per formula unit
1.0
-4.4974 -0.6907 2.6015
1.8368 -4.4905 1.9832
1.9950 2.6499 4.1524
Te Cl S Ge
1 2 1 1
direct
0.0000 0.0000 0.0000
0.5000 0.0000 0.0000
0.0000 0.5000 0.0000
0.0000 0.0000 0.5000
0.5000 0.5000 0.5000



Result of the stability comparison: (B) is the least stable of them.



(A)
TiGeSCl2 | Alexandria via LeMat-Bulk | PBE | relaxed; mass density = 3.088 g cm⁻³; total moment = 0.58 μB per formula unit
1.0
4.9137 0.0000 0.0000
0.0000 4.9137 0.0000
0.0000 0.0000 4.9768
S Cl Ge Ti
1 2 1 1
direct
0.0000 0.0000 0.5000
0.0000 0.5000 0.0000
0.5000 0.0000 0.0000
0.0000 0.0000 0.0000
0.5000 0.5000 0.5000



(B)
TiGeSCl2 | Alexandria via LeMat-Bulk | PBE | relaxed; mass density = 3.309 g cm⁻³; total moment = 2.00 μB per formula unit
1.0
4.8051 0.0000 0.0000
0.0000 4.8051 0.0000
0.0000 0.0000 4.8579
Cl Ti Ge S
2 1 1 1
direct
0.5000 0.0000 0.0000
0.0000 0.5000 0.0000
0.0000 0.0000 0.0000
0.5000 0.5000 0.5000
0.0000 0.0000 0.5000



Result of the stability comparison: (A) is the least stable of them.



(A)
TlGeSCl2 | Alexandria via LeMat-Bulk | PBE | relaxed; mass density = 4.334 g cm⁻³; total moment = 0.44 μB per formula unit
1.0
-3.6642 -1.3444 -3.5775
3.8070 -0.8481 -3.5805
0.3297 -4.9538 1.5240
Cl Ge S Tl
2 1 1 1
direct
0.0000 0.5000 0.0000
0.5000 0.0000 0.0000
0.5000 0.5000 0.5000
0.0000 0.0000 0.5000
0.0000 0.0000 0.0000



(B)
TlGeSCl2 | Alexandria via LeMat-Bulk | PBE | relaxed; mass density = 4.899 g cm⁻³; total moment = 0.00 μB per formula unit
1.0
5.2504 0.0000 0.0000
0.0000 5.2504 0.0000
0.0000 0.0000 4.6723
Cl Tl S Ge
2 1 1 1
direct
0.0000 0.5000 0.0000
0.5000 0.0000 0.0000
0.5000 0.5000 0.5000
0.0000 0.0000 0.5000
0.0000 0.0000 0.0000



Result of the stability comparison: (A) is the least stable of them.



(A)
GeWS2Cl | Alexandria via LeMat-Bulk | PBE | relaxed; mass density = 5.528 g cm⁻³; total moment = 0.61 μB per formula unit
1.0
4.6724 0.0000 0.0000
0.0000 4.6724 0.0000
0.0000 0.0000 4.8993
Ge Cl S W
1 1 2 1
direct
0.5000 0.5000 0.5000
0.0000 0.0000 0.5000
0.0000 0.5000 0.0000
0.5000 0.0000 0.0000
0.0000 0.0000 0.0000



(B)
GeWS2Cl | Alexandria via LeMat-Bulk | PBE | relaxed; mass density = 5.620 g cm⁻³; total moment = 3.77 μB per formula unit
1.0
-3.9449 1.2282 -2.4080
-2.6714 -2.4223 3.1409
-0.3974 3.7868 2.5824
Cl S Ge W
1 2 1 1
direct
0.0000 0.0000 0.5000
0.0000 0.5000 0.0000
0.5000 0.0000 0.0000
0.0000 0.0000 0.0000
0.5000 0.5000 0.5000



Result of the stability comparison: (B) is the least stable of them.



(A)
YGeSCl2 | Alexandria via LeMat-Bulk | PBE | relaxed; mass density = 3.017 g cm⁻³; total moment = 1.00 μB per formula unit
1.0
5.2092 0.0000 0.0000
0.0000 5.2092 0.0000
0.0000 0.0000 5.3658
Cl S Y Ge
2 1 1 1
direct
0.5000 0.0000 0.0000
0.0000 0.5000 0.0000
0.0000 0.0000 0.5000
0.0000 0.0000 0.0000
0.5000 0.5000 0.5000



(B)
YGeSCl2 | Alexandria via LeMat-Bulk | PBE | relaxed; mass density = 3.309 g cm⁻³; total moment = 0.00 μB per formula unit
1.0
-3.0000 3.9597 0.6090
-2.8376 -2.6989 3.5699
2.9778 1.6950 3.6483
Cl Ge Y S
2 1 1 1
direct
0.5000 0.0000 0.0000
0.0000 0.0000 0.5000
0.5000 0.5000 0.5000
0.0000 0.5000 0.0000
0.0000 0.0000 0.0000



Result of the stability comparison: (B) is the least stable of them.



(A)
YGeS2Cl | Alexandria via LeMat-Bulk | PBE | relaxed; mass density = 3.861 g cm⁻³; total moment = 0.00 μB per formula unit
1.0
-4.5335 -1.8077 -0.2784
1.6458 -4.3565 1.4867
-0.7669 1.2351 4.4684
Ge S Y Cl
1 2 1 1
direct
0.0000 0.0000 0.0000
0.0000 0.5000 0.0000
0.5000 0.0000 0.0000
0.5000 0.5000 0.5000
0.0000 0.0000 0.5000



(B)
YGeS2Cl | Alexandria via LeMat-Bulk | PBE | relaxed; mass density = 3.068 g cm⁻³; total moment = 0.00 μB per formula unit
1.0
5.2882 0.0000 0.0000
0.0000 5.2882 0.0000
0.0000 0.0000 5.0546
S Cl Y Ge
2 1 1 1
direct
0.5000 0.0000 0.0000
0.0000 0.5000 0.0000
0.0000 0.0000 0.5000
0.0000 0.0000 0.0000
0.5000 0.5000 0.5000



Result of the stability comparison: (A) is the least stable of them.